DFT (PBE) results for a relaxed structure of Pu3Tc3Ge2.

abc: 4.5121 5.6319 13.0665
angles: 90.00 90.00 113.61
Site moments in Bohr magnetons follow the coordinates.
Element x y z (fractional)
Pu: 0.9300 0.8600 0.3859  4.95
Pu: 0.0700 0.1400 0.6141  4.95
Pu: 0.3237 0.6473 0.7500  4.48
Ge: 0.2312 0.4624 0.0901  0.00
Pu: 0.0700 0.1400 0.8859  4.95
Ge: 0.7688 0.5376 0.5901  0.00
Tc: 0.6006 0.2013 0.4309  -0.59
Tc: 0.6002 0.2004 0.7500  -0.78
Ge: 0.2312 0.4624 0.4099  0.00
Tc: 0.6006 0.2013 0.0691  -0.59
Tc: 0.3994 0.7987 0.9309  -0.59
Ge: 0.7688 0.5376 0.9099  0.00
Pu: 0.6763 0.3527 0.2500  4.48
Pu: 0.9300 0.8600 0.1141  4.95
Tc: 0.3994 0.7987 0.5691  -0.59
Tc: 0.3998 0.7996 0.2500  -0.78

Properties
Symmetry: Cmcm (63)
Density of states at the Fermi level, states/eV per atom: 1.97
Energy relative to the elements, kJ/mol of formula units: -141